Version a
First-principles (GGA+U) data for an optimized crystal structure of Cs2MnO, as listed in Alexandria.

Geometry as CIF:
```
data_Cs2MnO
_cell_length_a 7.8226
_cell_length_b 7.8226
_cell_length_c 7.8226
_cell_angle_alpha 90.00
_cell_angle_beta 90.00
_cell_angle_gamma 90.00
_space_group_name_H-M_alt 'F m -3 m'
_space_group_IT_number 225
_space_group_name_Hall '-F 4 2 3'
loop_
_atom_site_label
_atom_site_type_symbol
_atom_site_fract_x
_atom_site_fract_y
_atom_site_fract_z
Cs1 Cs 0.2500 0.2500 0.2500
Mn1 Mn 0.0000 0.0000 0.0000
O1 O 0.0000 0.0000 0.5000
```

## Properties
Density of states at the Fermi level in states/eV per cell: 0.000

---

Version b
First-principles (GGA+U) data for an optimized crystal structure of Cs2MnO, as listed in Alexandria.

Geometry as CIF:
```
data_Cs2MnO
_cell_length_a 13.4834
_cell_length_b 13.4834
_cell_length_c 3.8797
_cell_angle_alpha 90.00
_cell_angle_beta 90.00
_cell_angle_gamma 90.00
_space_group_name_H-M_alt 'I -4 2 d'
_space_group_IT_number 122
_space_group_name_Hall 'I -4 2bw'
loop_
_atom_site_label
_atom_site_type_symbol
_atom_site_fract_x
_atom_site_fract_y
_atom_site_fract_z
Cs1 Cs 0.0472 0.2500 0.1250
Mn1 Mn 0.0000 0.0000 0.5000
O1 O 0.0000 0.0000 0.0000
```

## Properties
Density of states at the Fermi level in states/eV per cell: 9.210

---

Which of them is the least stable? Correct choice: version a.

---

Version a
First-principles (GGA+U) data for an optimized crystal structure of CsMnPO2, as listed in Alexandria.

Geometry as CIF:
```
data_CsMnPO2
_cell_length_a 4.2012
_cell_length_b 4.2012
_cell_length_c 6.9831
_cell_angle_alpha 90.00
_cell_angle_beta 90.00
_cell_angle_gamma 90.00
_space_group_name_H-M_alt 'P 4/m m m'
_space_group_IT_number 123
_space_group_name_Hall '-P 4 2'
loop_
_atom_site_label
_atom_site_type_symbol
_atom_site_fract_x
_atom_site_fract_y
_atom_site_fract_z
Cs1 Cs 0.0000 0.0000 0.0000
Mn1 Mn 0.5000 0.5000 0.5000
P1 P 0.0000 0.0000 0.5000
O1 O 0.0000 0.5000 0.0000
```

## Properties
Density of states at the Fermi level in states/eV per cell: 1.010

---

Version b
First-principles (GGA+U) data for an optimized crystal structure of CsMnPO2, as listed in Alexandria.

Geometry as CIF:
```
data_CsMnPO2
_cell_length_a 4.1231
_cell_length_b 4.1231
_cell_length_c 4.9834
_cell_angle_alpha 90.00
_cell_angle_beta 90.00
_cell_angle_gamma 90.00
_space_group_name_H-M_alt 'P 4/m m m'
_space_group_IT_number 123
_space_group_name_Hall '-P 4 2'
loop_
_atom_site_label
_atom_site_type_symbol
_atom_site_fract_x
_atom_site_fract_y
_atom_site_fract_z
Cs1 Cs 0.0000 0.0000 0.0000
Mn1 Mn 0.5000 0.5000 0.5000
P1 P 0.5000 0.5000 0.0000
O1 O 0.0000 0.5000 0.5000
```

## Properties
Density of states at the Fermi level in states/eV per cell: 2.513

---

Which of them is the least stable? Correct choice: version a.